1.
Compound: Pm5Nd2
Source: Alexandria via LeMat-Bulk
Functional: PBE
Structure: relaxed

Unit cell a=5.7944 b=5.7944 c=25.0917 alpha=90.00 beta=90.00 gamma=120.00
Space group R-3m (No. 166, hexagonal axes)
Unique sites:
Pm 0.0000 0.0000 0.0000 (multiplicity 3)
Pm 0.0000 0.0000 0.2723 (multiplicity 6)
Pm 0.0000 0.0000 0.4153 (multiplicity 6)
Nd 0.0000 0.0000 0.1358 (multiplicity 6)

Calculated values
- uncorrected energy (eV for the cell shown) = -97.2
- mass density (g/cm3) = 6.9
- calculated formation energy (eV per atom) = 0.1246

2.
Compound: Sm2Fe3Si5
Source: Alexandria via LeMat-Bulk
Functional: PBE
Structure: relaxed

Unit cell a=10.441 b=10.441 c=5.583 alpha=90.00 beta=90.00 gamma=90.00
Space group P4/mnc (No. 128)
Unique sites:
Sm 0.070 0.235 0.000 (multiplicity 8)
Fe 0.000 0.500 0.250 (multiplicity 4)
Fe 0.123 0.854 0.500 (multiplicity 8)
Si 0.000 0.000 0.280 (multiplicity 4)
Si 0.020 0.321 0.500 (multiplicity 8)
Si 0.177 0.677 0.250 (multiplicity 8)

Calculated values
- uncorrected energy (eV for the cell shown) = -274.2
- ΔE_f (raw) (eV per atom) = -0.66
- mass density (g/cm3) = 6.6

3.
Compound: Ti3ReF
Source: Alexandria via LeMat-Bulk
Functional: PBE
Structure: relaxed

Unit cell a=4.804 b=4.804 c=4.804 alpha=90.00 beta=90.00 gamma=90.00
Space group Pm-3m (No. 221)
Unique sites:
Ti 0.000 0.000 0.500 (multiplicity 3)
Re 0.000 0.000 0.000 (multiplicity 1)
F 0.500 0.500 0.500 (multiplicity 1)

Calculated values
- uncorrected energy (eV for the cell shown) = -35.4
- ΔE_f (raw) (eV per atom) = 0.52
- mass density (g/cm3) = 5.2

4.
Compound: Mn2TeAu
Source: Alexandria via LeMat-Bulk
Functional: PBE
Structure: relaxed

Unit cell a=9.939 b=3.753 c=4.143 alpha=90.00 beta=94.03 gamma=90.00
Space group Cm (No. 8)
Unique sites:
Mn 0.000 0.000 0.000 (multiplicity 2)
Mn 0.208 0.000 0.561 (multiplicity 2)
Te 0.478 0.000 0.498 (multiplicity 2)
Au 0.229 0.500 0.052 (multiplicity 2)

Calculated values
- uncorrected energy (eV for the cell shown) = -48.0
- ΔE_f (raw) (eV per atom) = 0.19
- mass density (g/cm3) = 9.4